[1]
The following is a DFT calculation (PBE) of S after structural relaxation.

```
S
1.0
6.1581 0.0000 0.0000
0.0000 6.1663 0.0000
-0.1332 0.0000 3.5482
S
4
Direct
0.2491 0.1588 0.4750
0.2491 0.3412 0.9750
0.7509 0.6588 0.0250
0.7509 0.8412 0.5250
```

Values from the calculation:
The polymorph energy (0 for the lowest one) comes out at 349 meV/atom. The raw formation energy is 0.349 eV/atom. The calculation puts the size of the total moment at 0.0000 μB per atom. The calculation puts the calculated total energy at -3.779 eV/atom. As for the space group: P2_1/c.

[2]
The following is a DFT calculation (PBE) of S after structural relaxation.

```
S
1.0
5.8799 0.0000 0.0000
0.0000 5.8799 0.0000
0.0000 0.0000 2.9607
S
4
Direct
0.1138 0.1138 0.0000
0.3862 0.6138 0.5000
0.6138 0.3862 0.5000
0.8862 0.8862 0.0000
```

Values from the calculation:
The polymorph energy (0 for the lowest one) comes out at 334 meV/atom. The raw formation energy is 0.334 eV/atom. The calculation puts the size of the total moment at 0.0000 μB per atom. The calculation puts the calculated total energy at -3.793 eV/atom. As for the space group: P4_2/mnm.

[3]
The following is a DFT calculation (PBE) of S after structural relaxation.

```
S
1.0
11.9387 0.0000 0.0000
0.0000 11.7391 0.0000
-1.7450 0.0000 11.8368
S
48
Direct
0.0004 0.0816 0.0732
0.9996 0.5816 0.9268
0.0457 0.4122 0.9398
0.0541 0.4393 0.5656
0.0835 0.3118 0.6848
0.1088 0.1428 0.3423
0.1095 0.9983 0.4406
0.1479 0.0981 0.1857
0.1618 0.8415 0.7568
0.1641 0.3795 0.8344
0.1782 0.6310 0.2458
0.2334 0.0000 0.7901
0.2484 0.4720 0.2800
0.2598 0.7483 0.6616
0.2803 0.7250 0.1556
0.3299 0.9985 0.9480
0.3395 0.4723 0.4405
0.3664 0.6435 0.7670
0.3835 0.8288 0.2654
0.4534 0.1689 0.5414
0.4602 0.2526 0.6941
0.4639 0.3015 0.0437
0.4768 0.2195 0.1978
0.4915 0.9992 0.5700
0.4973 0.9715 0.9309
0.5027 0.4715 0.0691
0.5085 0.4992 0.4300
0.5232 0.7195 0.8022
0.5361 0.8015 0.9563
0.5398 0.7526 0.3059
0.5466 0.6689 0.4586
0.6165 0.3288 0.7346
0.6336 0.1435 0.2330
0.6605 0.9723 0.5595
0.6701 0.4985 0.0520
0.7197 0.2250 0.8444
0.7402 0.2483 0.3384
0.7516 0.9720 0.7200
0.7666 0.5000 0.2099
0.8218 0.1310 0.7542
0.8359 0.8795 0.1656
0.8382 0.3415 0.2432
0.8521 0.5981 0.8143
0.8905 0.4983 0.5594
0.8912 0.6428 0.6577
0.9165 0.8118 0.3152
0.9459 0.9393 0.4344
0.9543 0.9122 0.0602
```

Values from the calculation:
The polymorph energy (0 for the lowest one) comes out at 0 meV/atom. The raw formation energy is 0.000 eV/atom. The calculation puts the size of the total moment at 0.0000 μB per atom. The calculation puts the calculated total energy at -4.127 eV/atom. As for the space group: P2_1.

[4]
The following is a DFT calculation (PBE) of S after structural relaxation.

```
S
1.0
-6.3936 6.3936 1.5059
6.3936 -6.3936 1.5059
6.3936 6.3936 -1.5059
S
8
Direct
0.0741 0.2422 0.3163
0.0741 0.7578 0.8319
0.2422 0.0741 0.3163
0.2422 0.9259 0.1681
0.7578 0.0741 0.8319
0.7578 0.9259 0.6837
0.9259 0.2422 0.1681
0.9259 0.7578 0.6837
```

Values from the calculation:
The polymorph energy (0 for the lowest one) comes out at 319 meV/atom. The raw formation energy is 0.319 eV/atom. The calculation puts the size of the total moment at 0.0000 μB per atom. The calculation puts the calculated total energy at -3.809 eV/atom. As for the space group: I4/mmm.

[5]
The following is a DFT calculation (PBE) of S after structural relaxation.

```
S
1.0
5.9850 0.0000 0.0000
-1.9441 10.4734 0.0000
-2.4738 -1.9326 15.5968
S
28
Direct
0.0068 0.3922 0.3658
0.0147 0.8455 0.2249
0.0472 0.9450 0.1206
0.0618 0.0405 0.6758
0.1763 0.5725 0.3481
0.1783 0.3711 0.0889
0.2129 0.3300 0.4634
0.2286 0.0224 0.4179
0.3058 0.5571 0.1474
0.3887 0.2062 0.4052
0.3916 0.9935 0.1100
0.4299 0.5560 0.2758
0.4587 0.2946 0.0648
0.4697 0.8183 0.8392
0.5303 0.1817 0.1608
0.5413 0.7054 0.9352
0.5701 0.4440 0.7242
0.6084 0.0065 0.8900
0.6113 0.7938 0.5948
0.6942 0.4429 0.8526
0.7714 0.9776 0.5821
0.7871 0.6700 0.5366
0.8217 0.6289 0.9111
0.8237 0.4275 0.6519
0.9382 0.9595 0.3242
0.9528 0.0550 0.8794
0.9853 0.1545 0.7751
0.9932 0.6078 0.6342
```

Values from the calculation:
The polymorph energy (0 for the lowest one) comes out at 18 meV/atom. The raw formation energy is 0.018 eV/atom. The calculation puts the size of the total moment at 0.0000 μB per atom. The calculation puts the calculated total energy at -4.110 eV/atom. As for the space group: P-1.

[6]
The following is a DFT calculation (PBE) of S after structural relaxation.

```
S
1.0
-3.5171 3.5171 3.5171
3.5171 -3.5171 3.5171
3.5171 3.5171 -3.5171
S
6
Direct
0.2500 0.5000 0.7500
0.2500 0.7500 0.5000
0.5000 0.2500 0.7500
0.5000 0.7500 0.2500
0.7500 0.2500 0.5000
0.7500 0.5000 0.2500
```

Values from the calculation:
The polymorph energy (0 for the lowest one) comes out at 1016 meV/atom. The raw formation energy is 1.016 eV/atom. The calculation puts the size of the total moment at 0.0001 μB per atom. The calculation puts the calculated total energy at -3.112 eV/atom. As for the space group: Im-3m.

[7]
The following is a DFT calculation (PBE) of S after structural relaxation.

```
S
1.0
8.6651 0.0000 0.0000
0.0000 8.6651 0.0000
0.0000 0.0000 5.0793
S
8
Direct
0.0000 0.2743 0.0000
0.0000 0.7257 0.0000
0.1942 0.1942 0.1902
0.1942 0.8058 0.1902
0.2743 0.0000 0.0000
0.7257 0.0000 0.0000
0.8058 0.1942 0.1902
0.8058 0.8058 0.1902
```

Values from the calculation:
The polymorph energy (0 for the lowest one) comes out at 9 meV/atom. The raw formation energy is 0.009 eV/atom. The calculation puts the size of the total moment at 0.0000 μB per atom. The calculation puts the calculated total energy at -4.119 eV/atom. As for the space group: P4mm.

[8]
The following is a DFT calculation (PBE) of S after structural relaxation.

```
S
1.0
5.1307 0.0000 0.0000
1.7516 5.3651 0.0000
1.8276 2.3275 5.0211
S
4
Direct
0.0761 0.1573 0.0115
0.1941 0.9671 0.3579
0.8059 0.0329 0.6421
0.9239 0.8427 0.9885
```

Values from the calculation:
The polymorph energy (0 for the lowest one) comes out at 82 meV/atom. The raw formation energy is 0.082 eV/atom. The calculation puts the size of the total moment at 0.0000 μB per atom. The calculation puts the calculated total energy at -4.045 eV/atom. As for the space group: P-1.